VASP calculation (PBE) on Tb6SmHg after structural relaxation.

Computed properties:
Magnetic moment, μB/atom: 0.000
Formation enthalpy at 0 K, eV/atom: -0.0097

Lattice parameters (Å, degrees): 9.321 8.568 6.328 47.42 42.58 57.03
Positions (direct):
Tb1 0.041 0.440 0.759
Tb2 0.440 0.760 0.841
Tb3 0.959 0.560 0.241
Tb4 0.560 0.240 0.159
Tb5 0.240 0.041 0.280
Tb6 0.760 0.959 0.720
Sm1 0.500 0.500 0.500
Hg1 0.000 0.000 0.000